(1)
DFT (GGA-PBE) results for a relaxed structure of BaGaO3.

## Properties
- symmetry = P2_1/m
- total energy (Ha/atom) = -0.2145
- formation energy (no corrections) (kJ/mol of atoms) = -180.7
- crystal system = monoclinic

a = 5.963 Å, b = 4.809 Å, c = 7.036 Å
α = 90.00°, β = 110.32°, γ = 90.00°
Element x y z (fractional)
Ba1 0.049 0.250 0.270
Ba2 0.951 0.750 0.730
Ga1 0.404 0.250 0.883
Ga2 0.596 0.750 0.117
O1 0.143 0.250 0.656
O2 0.326 0.502 0.080
O3 0.326 0.998 0.080
O4 0.674 0.002 0.920
O5 0.674 0.498 0.920
O6 0.857 0.750 0.344

---

(2)
DFT (GGA-PBE) results for a relaxed structure of K8CdAg2.

## Properties
- energy of formation (meV/atom) = 46
- symmetry = Immm
- total energy (Ha/atom) = -0.0498
- crystal system = orthorhombic

a = 10.615 Å, b = 10.615 Å, c = 10.615 Å
α = 148.39°, β = 123.88°, γ = 65.86°
Element x y z (fractional)
K1 0.124 0.339 0.785
K2 0.146 0.146 0.000
K3 0.313 0.000 0.313
K4 0.446 0.661 0.785
K5 0.554 0.339 0.215
K6 0.687 0.000 0.687
K7 0.854 0.854 0.000
K8 0.876 0.661 0.215
Cd1 0.000 0.500 0.500
Ag1 0.308 0.808 0.500
Ag2 0.692 0.192 0.500

---

(3)
DFT (GGA-PBE) results for a relaxed structure of RbTeAu.

## Properties
- symmetry = Pmma
- total energy (Ha/atom) = -0.1157
- formation energy (no corrections) (kJ/mol of atoms) = -66.2
- crystal system = orthorhombic

a = 6.017 Å, b = 5.225 Å, c = 7.350 Å
α = 90.00°, β = 90.00°, γ = 90.00°
Element x y z (fractional)
Rb1 0.250 0.000 0.211
Rb2 0.750 0.000 0.789
Te1 0.250 0.500 0.797
Te2 0.750 0.500 0.203
Au1 0.000 0.500 0.500
Au2 0.500 0.500 0.500

---

(4)
DFT (GGA-PBE) results for a relaxed structure of Mg2NiPt.

## Properties
- energy of formation (meV/atom) = -444
- symmetry = I-4m2
- total energy (Ha/atom) = -0.1542
- crystal system = tetragonal

a = 4.917 Å, b = 4.917 Å, c = 4.917 Å
α = 133.72°, β = 133.72°, γ = 67.52°
Element x y z (fractional)
Mg1 0.000 0.000 0.000
Mg2 0.750 0.250 0.500
Ni1 0.500 0.500 0.000
Pt1 0.250 0.750 0.500

---

(5)
DFT (GGA-PBE) results for a relaxed structure of TbDyAs.

## Properties
- energy of formation (meV/atom) = -732
- symmetry = I4mm
- total energy (Ha/atom) = -0.1970
- crystal system = tetragonal

a = 6.500 Å, b = 6.500 Å, c = 6.500 Å
α = 147.44°, β = 147.44°, γ = 46.71°
Element x y z (fractional)
Tb1 0.000 0.000 0.000
Dy1 0.725 0.725 0.000
As1 0.361 0.361 0.000

---

(6)
DFT (GGA-PBE) results for a relaxed structure of CsTlH6Au2.

## Properties
- symmetry = C2/c
- total energy (Ha/atom) = -0.1090
- crystal system = monoclinic

a = 7.795 Å, b = 7.795 Å, c = 6.168 Å
α = 91.30°, β = 91.30°, γ = 116.59°
Element x y z (fractional)
Cs1 0.116 0.884 0.750
Cs2 0.884 0.116 0.250
Tl1 0.365 0.635 0.250
Tl2 0.635 0.365 0.750
H1 0.015 0.242 0.772
H2 0.131 0.528 0.597
H3 0.242 0.015 0.272
H4 0.323 0.334 0.941
H5 0.334 0.323 0.441
H6 0.472 0.869 0.903
H7 0.528 0.131 0.097
H8 0.666 0.677 0.559
H9 0.677 0.666 0.059
H10 0.758 0.985 0.728
H11 0.869 0.472 0.403
H12 0.985 0.758 0.228
Au1 0.230 0.433 0.764
Au2 0.433 0.230 0.264
Au3 0.567 0.770 0.736
Au4 0.770 0.567 0.236

---

(7)
DFT (GGA-PBE) results for a relaxed structure of Cr2PbCl.

## Properties
- symmetry = Cmmm
- total energy (Ha/atom) = -0.2137
- formation energy (no corrections) (kJ/mol of atoms) = 37.1
- crystal system = orthorhombic

a = 3.450 Å, b = 3.450 Å, c = 8.161 Å
α = 90.00°, β = 90.00°, γ = 115.11°
Element x y z (fractional)
Cr1 0.000 0.000 0.235
Cr2 0.000 0.000 0.765
Pb1 0.500 0.500 0.500
Cl1 0.500 0.500 0.000

---

(8)
DFT (GGA-PBE) results for a relaxed structure of Cd2Cu.

## Properties
- energy of formation (meV/atom) = 112
- symmetry = P-62m
- total energy (Ha/atom) = -0.0685
- crystal system = hexagonal

a = 7.012 Å, b = 7.012 Å, c = 4.040 Å
α = 90.00°, β = 90.00°, γ = 120.00°
Element x y z (fractional)
Cd1 0.000 0.253 0.000
Cd2 0.000 0.585 0.500
Cd3 0.253 0.000 0.000
Cd4 0.415 0.415 0.500
Cd5 0.585 0.000 0.500
Cd6 0.747 0.747 0.000
Cu1 0.000 0.000 0.500
Cu2 0.333 0.667 0.000
Cu3 0.667 0.333 0.000